Entry A
# Cs2NiAu, relaxed, DFT PBE
data_Cs2NiAu
_chemical_formula_sum 'Cs8 Ni4 Au4'
_cell_length_a 8.241
_cell_length_b 8.241
_cell_length_c 16.749
_cell_angle_alpha 90.00
_cell_angle_beta 90.00
_cell_angle_gamma 90.00
_symmetry_space_group_name_H-M 'I -4 2 d'
_symmetry_Int_Tables_number 122
_symmetry_space_group_name_Hall 'I -4 2bw'
loop_
_atom_site_label
_atom_site_type_symbol
_atom_site_fract_x
_atom_site_fract_y
_atom_site_fract_z
Cs1 Cs 0.244 0.250 0.125
Ni1 Ni 0.000 0.000 0.500
Au1 Au 0.000 0.000 0.000
# volume = 1138 Å³/cell
# DOS(E_F) = 4.915 states/eV per cell

=====

Entry B
# Cs2NiAu, relaxed, DFT PBE
data_Cs2NiAu
_chemical_formula_sum 'Cs8 Ni4 Au4'
_cell_length_a 8.748
_cell_length_b 8.748
_cell_length_c 8.748
_cell_angle_alpha 90.00
_cell_angle_beta 90.00
_cell_angle_gamma 90.00
_symmetry_space_group_name_H-M 'F m -3 m'
_symmetry_Int_Tables_number 225
_symmetry_space_group_name_Hall '-F 4 2 3'
loop_
_atom_site_label
_atom_site_type_symbol
_atom_site_fract_x
_atom_site_fract_y
_atom_site_fract_z
Cs1 Cs 0.250 0.250 0.250
Ni1 Ni 0.000 0.000 0.000
Au1 Au 0.000 0.000 0.500
# volume = 670 Å³/cell
# DOS(E_F) = 35.294 states/eV per cell

=====

Most stable structure among those shown: entry B. Next: +0.133 eV/atom.